Entry 1:
A plane-wave DFT calculation with PBE-GGA was carried out for a relaxed Rb3BeF4 crystal.

Calculated values
**Raw formation energy**: -2.549 eV/atom
**Density**: 3010 kg/m³
**Calculated total energy**: -69.008 eV/cell

Cell lengths 8.182, 6.907, 6.666 Å; angles 90.00, 90.00, 90.00 degrees
Sites, in units of the cell vectors:
Rb (0.000, 0.061, 0.000)
Rb (0.229, 0.377, 0.484)
Rb (0.271, 0.623, 0.984)
Rb (0.500, 0.939, 0.500)
Rb (0.729, 0.623, 0.984)
Rb (0.771, 0.377, 0.484)
Be (0.000, 0.847, 0.497)
Be (0.500, 0.153, 0.997)
F (0.000, 0.064, 0.421)
F (0.000, 0.703, 0.307)
F (0.159, 0.810, 0.627)
F (0.341, 0.190, 0.127)
F (0.500, 0.297, 0.807)
F (0.500, 0.936, 0.921)
F (0.659, 0.190, 0.127)
F (0.841, 0.810, 0.627)

Entry 2:
A plane-wave DFT calculation with PBE-GGA was carried out for a relaxed Ce3GaCo8 crystal.

Calculated values
**Density**: 9317 kg/m³
**Calculated total energy**: -80.204 eV/cell
**ΔH_f (0 K)**: -211 meV/atom

Cell lengths 8.606, 8.606, 8.606 Å; angles 33.33, 33.33, 33.33 degrees
Sites, in units of the cell vectors:
Ce (0.000, 0.000, 0.000)
Ce (0.126, 0.126, 0.126)
Ce (0.505, 0.505, 0.505)
Ga (0.628, 0.628, 0.628)
Co (0.055, 0.565, 0.565)
Co (0.066, 0.066, 0.569)
Co (0.066, 0.569, 0.066)
Co (0.313, 0.313, 0.313)
Co (0.565, 0.055, 0.565)
Co (0.565, 0.565, 0.055)
Co (0.569, 0.066, 0.066)
Co (0.814, 0.814, 0.814)

Entry 3:
A plane-wave DFT calculation with PBE-GGA was carried out for a relaxed YMgC3 crystal.

Calculated values
**Polymorph energy (0 for the lowest one)**: 0 meV/atom
**Density**: 3679 kg/m³
**Calculated total energy**: -27.002 eV/cell
**ΔH_f (0 K)**: 1746 meV/atom

Cell lengths 4.069, 4.069, 4.069 Å; angles 90.00, 90.00, 90.00 degrees
Sites, in units of the cell vectors:
Y (0.000, 0.000, 0.000)
Mg (0.500, 0.500, 0.500)
C (0.000, 0.500, 0.500)
C (0.500, 0.000, 0.500)
C (0.500, 0.500, 0.000)

Entry 4:
A plane-wave DFT calculation with PBE-GGA was carried out for a relaxed CsBeGa2Ir crystal.

Calculated values
**Density**: 4241 kg/m³
**Calculated total energy**: -8.613 eV/cell
**ΔH_f (0 K)**: 2176 meV/atom

Cell lengths 6.019, 6.019, 5.118 Å; angles 90.00, 90.00, 90.00 degrees
Sites, in units of the cell vectors:
Cs (0.000, 0.000, 0.000)
Be (0.500, 0.500, 0.500)
Ga (0.000, 0.500, 0.000)
Ga (0.500, 0.000, 0.000)
Ir (0.000, 0.000, 0.500)

Entry 5:
A plane-wave DFT calculation with PBE-GGA was carried out for a relaxed HfAl3Ni12 crystal.

Calculated values
**Density**: 8532 kg/m³
**Calculated total energy**: -97.831 eV/cell
**ΔH_f (0 K)**: -455 meV/atom

Cell lengths 3.623, 3.623, 14.293 Å; angles 90.00, 90.00, 90.00 degrees
Sites, in units of the cell vectors:
Hf (0.000, 0.000, 0.000)
Al (0.000, 0.000, 0.256)
Al (0.000, 0.000, 0.500)
Al (0.000, 0.000, 0.744)
Ni (0.000, 0.500, 0.134)
Ni (0.000, 0.500, 0.377)
Ni (0.000, 0.500, 0.623)
Ni (0.000, 0.500, 0.866)
Ni (0.500, 0.000, 0.134)
Ni (0.500, 0.000, 0.377)
Ni (0.500, 0.000, 0.623)
Ni (0.500, 0.000, 0.866)
Ni (0.500, 0.500, 0.000)
Ni (0.500, 0.500, 0.256)
Ni (0.500, 0.500, 0.500)
Ni (0.500, 0.500, 0.744)

Entry 6:
A plane-wave DFT calculation with PBE-GGA was carried out for a relaxed Li6Tl5Pd crystal.

Calculated values
**Density**: 8395 kg/m³
**Calculated total energy**: -31.567 eV/cell
**ΔH_f (0 K)**: -255 meV/atom

Cell lengths 8.277, 8.277, 4.754 Å; angles 106.52, 106.52, 48.41 degrees
Sites, in units of the cell vectors:
Li (0.080, 0.602, 0.342)
Li (0.238, 0.762, 0.000)
Li (0.398, 0.920, 0.658)
Li (0.602, 0.080, 0.342)
Li (0.762, 0.238, 0.000)
Li (0.920, 0.398, 0.658)
Tl (0.157, 0.157, 0.157)
Tl (0.332, 0.332, 0.833)
Tl (0.500, 0.500, 0.500)
Tl (0.668, 0.668, 0.167)
Tl (0.843, 0.843, 0.843)
Pd (0.000, 0.000, 0.500)

no.,spin magnetization (μB/cell)
1,1.01
2,2.72
3,0.00
4,0.00
5,1.92
6,0.00